Model w:
# PBE La2Zn2Co, optimized geometry
# SG = I4/mmm (139)
# Total magnetic moment = 0.00 μB per cell
data_La2Zn2Co
_chemical_formula_sum 'La4 Zn4 Co2'
_space_group_name_H-M_alt 'P 1'
_space_group_IT_number 1
_cell_length_a 3.5673
_cell_length_b 3.5673
_cell_length_c 18.3097
_cell_angle_alpha 90.00
_cell_angle_beta 90.00
_cell_angle_gamma 90.00
loop_
_space_group_symop_operation_xyz
'x,y,z'
loop_
_atom_site_label
_atom_site_fract_x
_atom_site_fract_y
_atom_site_fract_z
La1 0.0000 0.0000 0.0897
La2 0.0000 0.0000 0.9103
La3 0.5000 0.5000 0.4103
La4 0.5000 0.5000 0.5897
Zn1 0.0000 0.5000 0.2500
Zn2 0.0000 0.5000 0.7500
Zn3 0.5000 0.0000 0.2500
Zn4 0.5000 0.0000 0.7500
Co1 0.0000 0.0000 0.5000
Co2 0.5000 0.5000 0.0000

***

Model x:
# PBE La2Zn2Co, optimized geometry
# SG = P4/mbm (127)
# Total magnetic moment = 0.00 μB per cell
data_La2Zn2Co
_chemical_formula_sum 'La4 Zn4 Co2'
_space_group_name_H-M_alt 'P 1'
_space_group_IT_number 1
_cell_length_a 6.8128
_cell_length_b 6.8128
_cell_length_c 4.8017
_cell_angle_alpha 90.00
_cell_angle_beta 90.00
_cell_angle_gamma 90.00
loop_
_space_group_symop_operation_xyz
'x,y,z'
loop_
_atom_site_label
_atom_site_fract_x
_atom_site_fract_y
_atom_site_fract_z
La1 0.1752 0.3248 0.0000
La2 0.3248 0.8248 0.0000
La3 0.6752 0.1752 0.0000
La4 0.8248 0.6752 0.0000
Zn1 0.1378 0.6378 0.5000
Zn2 0.3622 0.1378 0.5000
Zn3 0.6378 0.8622 0.5000
Zn4 0.8622 0.3622 0.5000
Co1 0.0000 0.0000 0.5000
Co2 0.5000 0.5000 0.5000

***

Q: What are the energies relative to the best structure? A: model w 0; model x 17, in meV per atom.

***

Model w:
# PBE La4ZnCo, optimized geometry
# SG = C2/c (15)
# Total magnetic moment = 0.00 μB per cell
data_La4ZnCo
_chemical_formula_sum 'La8 Zn2 Co2'
_space_group_name_H-M_alt 'P 1'
_space_group_IT_number 1
_cell_length_a 8.7160
_cell_length_b 8.7160
_cell_length_c 6.9049
_cell_angle_alpha 108.61
_cell_angle_beta 108.61
_cell_angle_gamma 115.97
loop_
_space_group_symop_operation_xyz
'x,y,z'
loop_
_atom_site_label
_atom_site_fract_x
_atom_site_fract_y
_atom_site_fract_z
La1 0.0524 0.6251 0.8385
La2 0.1965 0.2736 0.7257
La3 0.2736 0.1965 0.2257
La4 0.3749 0.9476 0.6615
La5 0.6251 0.0524 0.3385
La6 0.7264 0.8035 0.7743
La7 0.8035 0.7264 0.2743
La8 0.9476 0.3749 0.1615
Zn1 0.3780 0.6220 0.2500
Zn2 0.6220 0.3780 0.7500
Co1 0.0885 0.9115 0.7500
Co2 0.9115 0.0885 0.2500

***

Model x:
# PBE La4ZnCo, optimized geometry
# SG = F-43m (216)
# Total magnetic moment = 1.94 μB per cell
data_La4ZnCo
_chemical_formula_sum 'La4 Zn1 Co1'
_space_group_name_H-M_alt 'P 1'
_space_group_IT_number 1
_cell_length_a 6.3403
_cell_length_b 6.3403
_cell_length_c 6.3403
_cell_angle_alpha 60.00
_cell_angle_beta 60.00
_cell_angle_gamma 60.00
loop_
_space_group_symop_operation_xyz
'x,y,z'
loop_
_atom_site_label
_atom_site_fract_x
_atom_site_fract_y
_atom_site_fract_z
La1 0.1252 0.1252 0.1252
La2 0.1252 0.1252 0.6245
La3 0.1252 0.6245 0.1252
La4 0.6245 0.1252 0.1252
Zn1 0.7500 0.7500 0.7500
Co1 0.5000 0.5000 0.5000

***

Model y:
# PBE La4ZnCo, optimized geometry
# SG = P2_1/m (11)
# Total magnetic moment = 0.00 μB per cell
data_La4ZnCo
_chemical_formula_sum 'La8 Zn2 Co2'
_space_group_name_H-M_alt 'P 1'
_space_group_IT_number 1
_cell_length_a 6.1049
_cell_length_b 7.1556
_cell_length_c 8.0658
_cell_angle_alpha 90.00
_cell_angle_beta 97.44
_cell_angle_gamma 90.00
loop_
_space_group_symop_operation_xyz
'x,y,z'
loop_
_atom_site_label
_atom_site_fract_x
_atom_site_fract_y
_atom_site_fract_z
La1 0.1026 0.2500 0.0720
La2 0.1695 0.7500 0.3758
La3 0.3820 0.5054 0.7782
La4 0.3820 0.9946 0.7782
La5 0.6180 0.0054 0.2218
La6 0.6180 0.4946 0.2218
La7 0.8305 0.2500 0.6242
La8 0.8974 0.7500 0.9280
Zn1 0.2879 0.2500 0.4449
Zn2 0.7121 0.7500 0.5551
Co1 0.3352 0.7500 0.0591
Co2 0.6648 0.2500 0.9409

***

Q: What are the energies relative to the best structure? A: model w 49; model x 854; model y 0, in meV per atom.

***

Model w:
# PBE LaZn4Co, optimized geometry
# SG = Cmcm (63)
# Total magnetic moment = 0.00 μB per cell
data_LaZn4Co
_chemical_formula_sum 'La2 Zn8 Co2'
_space_group_name_H-M_alt 'P 1'
_space_group_IT_number 1
_cell_length_a 7.2924
_cell_length_b 7.2924
_cell_length_c 6.6743
_cell_angle_alpha 90.00
_cell_angle_beta 90.00
_cell_angle_gamma 141.87
loop_
_space_group_symop_operation_xyz
'x,y,z'
loop_
_atom_site_label
_atom_site_fract_x
_atom_site_fract_y
_atom_site_fract_z
La1 0.1020 0.8980 0.7500
La2 0.8980 0.1020 0.2500
Zn1 0.1190 0.8810 0.2500
Zn2 0.2854 0.7146 0.0596
Zn3 0.2854 0.7146 0.4404
Zn4 0.5000 0.5000 0.0000
Zn5 0.5000 0.5000 0.5000
Zn6 0.7146 0.2854 0.5596
Zn7 0.7146 0.2854 0.9404
Zn8 0.8810 0.1190 0.7500
Co1 0.3739 0.6261 0.7500
Co2 0.6261 0.3739 0.2500

***

Model x:
# PBE LaZn4Co, optimized geometry
# SG = F-43m (216)
# Total magnetic moment = 0.00 μB per cell
data_LaZn4Co
_chemical_formula_sum 'La1 Zn4 Co1'
_space_group_name_H-M_alt 'P 1'
_space_group_IT_number 1
_cell_length_a 5.2524
_cell_length_b 5.2524
_cell_length_c 5.2524
_cell_angle_alpha 60.00
_cell_angle_beta 60.00
_cell_angle_gamma 60.00
loop_
_space_group_symop_operation_xyz
'x,y,z'
loop_
_atom_site_label
_atom_site_fract_x
_atom_site_fract_y
_atom_site_fract_z
La1 0.0000 0.0000 0.0000
Zn1 0.1312 0.6229 0.6229
Zn2 0.6229 0.1312 0.6229
Zn3 0.6229 0.6229 0.1312
Zn4 0.6229 0.6229 0.6229
Co1 0.2500 0.2500 0.2500

***

Q: What are the energies relative to the best structure? A: model w 0; model x 53, in meV per atom.